Here is a relaxed structure of LaPr2Nd3Te6 from the Alexandria database. Energies are from GGA-PBE.

It has space group C2/m (No. 12), with a = 19.701 Å, b = 4.509 Å, c = 9.085 Å, α = 90.00°, β = 103.22° and γ = 90.00°. The inequivalent atoms are La at (0.000, 0.000, 0.000), Pr at (0.168, 0.500, 0.335), Nd at (0.000, 0.000, 0.500), Nd at (0.167, 0.500, 0.832), Te at (0.000, 0.500, 0.253), Te at (0.166, 0.000, 0.584) and Te at (0.168, 0.000, 0.082).

The calculated total energy is -5.430 eV/atom.